Computed, not measured: a geometry-optimized TaTe2ICl structure at the PBE level of DFT.

Summary:
calculated total energy	-4.24	eV/atom
distance to the lowest polymorph of the same formula	0.0	kJ/mol of atoms
ΔE_f (raw)	0.34	eV per formula unit
magnetization	0.00	Bohr magnetons per cell

abc: 5.370 5.370 5.534
angles: 90.00 90.00 90.00
Space group P4/mmm (No. 123)
Inequivalent atoms, fractional coordinates:
Ta: 0.000 0.000 0.000 [1 per cell]
Te: 0.000 0.500 0.000 [2 per cell]
I: 0.000 0.000 0.500 [1 per cell]
Cl: 0.500 0.500 0.500 [1 per cell]